Material: NaIn2PRh
Method: DFT, PBE-GGA
State: relaxed

Cell lengths 5.0834, 5.0834, 4.9293 Å; angles 90.00, 90.00, 90.00 degrees
Positions (direct):
Na 0.0000 0.0000 0.0000
In 0.0000 0.5000 0.5000
In 0.5000 0.0000 0.5000
P 0.0000 0.0000 0.5000
Rh 0.5000 0.5000 0.0000

**SG**: P4/mmm, No. 123
**Calculated formation energy**: 0.621 eV/atom
**Crystal system**: tetragonal

Material: NaInPS4
Method: DFT, PBE-GGA
State: relaxed

Cell lengths 7.5699, 7.5699, 7.5699 Å; angles 121.13, 118.64, 90.22 degrees
Positions (direct):
Na 0.5000 0.0000 0.0000
Na 0.5000 0.5000 0.5000
In 0.0000 0.0000 0.0000
In 0.5000 0.0000 0.5000
P 0.1185 0.3685 0.7500
P 0.8815 0.6315 0.2500
S 0.2076 0.7351 0.4724
S 0.2373 0.2649 0.9724
S 0.2396 0.2507 0.5112
S 0.2396 0.7284 0.9888
S 0.7604 0.2716 0.0112
S 0.7604 0.7493 0.4888
S 0.7627 0.7351 0.0276
S 0.7924 0.2649 0.5276

**SG**: Imma, No. 74
**Energy relative to the elements, uncorrected**: -0.385 eV/atom
**Crystal system**: orthorhombic

Material: NaInPS2
Method: DFT, PBE-GGA
State: relaxed

Cell lengths 5.0374, 5.0374, 5.1237 Å; angles 90.00, 90.00, 90.00 degrees
Positions (direct):
Na 0.0000 0.0000 0.0000
In 0.5000 0.5000 0.5000
P 0.0000 0.0000 0.5000
S 0.0000 0.5000 0.0000
S 0.5000 0.0000 0.0000

**SG**: P4/mmm, No. 123
**Energy relative to the elements, uncorrected**: 0.820 eV/atom
**Energy relative to the lowest polymorph listed for this composition**: 569 meV/atom
**Crystal system**: tetragonal

In order of appearance, volume = 127.38; 307.09; 130.02 Å³ per cell.
In order of appearance, theoretical density = 5.0; 3.2; 3.0 g cm⁻³.